First-principles (PBE) data for an optimized crystal structure of La4Te3Ru, as listed in Alexandria via LeMat-Bulk.

**V**: 33.026 Å³ per atom
**Space-group type**: P2/c (13)
**Total energy**: -6.049 eV per atom

a b c (Å): 7.674 8.057 9.082
angles (deg): 90.00 90.00 109.77
Atoms (fractional coordinates):
Ru: 0.750 0.000 0.872
Ru: 0.250 0.000 0.128
Te: 0.750 0.000 0.382
Te: 0.250 0.000 0.618
Te: 0.750 0.500 0.618
Te: 0.750 0.500 0.122
Te: 0.250 0.500 0.382
Te: 0.250 0.500 0.878
La: 0.966 0.225 0.661
La: 0.499 0.216 0.891
La: 0.466 0.225 0.339
La: 0.999 0.216 0.109
La: 0.001 0.784 0.891
La: 0.534 0.775 0.661
La: 0.501 0.784 0.109
La: 0.034 0.775 0.339

=====

First-principles (PBE) data for an optimized crystal structure of Tb5Pr3H12, as listed in Alexandria via LeMat-Bulk.

**V**: 15.077 Å³ per atom
**Space-group type**: Ia-3d (230)
**Total energy**: -4.338 eV per atom

a b c (Å): 11.615 11.615 11.615
angles (deg): 109.47 109.47 109.47
Atoms (fractional coordinates):
Pr: 0.750 0.375 0.125
Pr: 0.875 0.750 0.125
Pr: 0.375 0.750 0.625
Pr: 0.250 0.125 0.375
Pr: 0.875 0.125 0.250
Pr: 0.375 0.625 0.250
Pr: 0.625 0.375 0.750
Pr: 0.125 0.875 0.750
Pr: 0.750 0.875 0.625
Pr: 0.625 0.250 0.375
Pr: 0.125 0.250 0.875
Pr: 0.250 0.625 0.875
Tb: 0.125 0.375 0.250
Tb: 0.000 0.500 0.000
Tb: 0.000 0.000 0.000
Tb: 0.375 0.250 0.125
Tb: 0.500 0.000 0.500
Tb: 0.500 0.500 0.000
Tb: 0.125 0.750 0.375
Tb: 0.750 0.125 0.875
Tb: 0.750 0.625 0.375
Tb: 0.375 0.125 0.750
Tb: 0.625 0.875 0.250
Tb: 0.500 0.500 0.500
Tb: 0.500 0.000 0.000
Tb: 0.000 0.000 0.500
Tb: 0.250 0.375 0.625
Tb: 0.250 0.875 0.125
Tb: 0.000 0.500 0.500
Tb: 0.875 0.250 0.625
Tb: 0.625 0.750 0.875
Tb: 0.875 0.625 0.750
H: 0.720 0.145 0.059
H: 0.339 0.559 0.414
H: 0.941 0.355 0.280
H: 0.559 0.220 0.145
H: 0.575 0.720 0.661
H: 0.941 0.586 0.161
H: 0.339 0.780 0.425
H: 0.086 0.925 0.145
H: 0.586 0.941 0.661
H: 0.720 0.575 0.161
H: 0.780 0.441 0.355
H: 0.839 0.914 0.059
H: 0.145 0.720 0.559
H: 0.355 0.414 0.075
H: 0.075 0.914 0.355
H: 0.425 0.145 0.586
H: 0.075 0.161 0.220
H: 0.441 0.661 0.086
H: 0.839 0.925 0.280
H: 0.145 0.425 0.086
H: 0.355 0.941 0.780
H: 0.586 0.645 0.425
H: 0.914 0.839 0.559
H: 0.780 0.339 0.925
H: 0.414 0.355 0.575
H: 0.086 0.161 0.441
H: 0.220 0.661 0.075
H: 0.161 0.075 0.720
H: 0.645 0.059 0.220
H: 0.855 0.575 0.914
H: 0.559 0.339 0.914
H: 0.575 0.855 0.414
H: 0.925 0.839 0.780
H: 0.925 0.086 0.645
H: 0.855 0.280 0.441
H: 0.161 0.086 0.941
H: 0.645 0.586 0.925
H: 0.414 0.059 0.339
H: 0.280 0.425 0.839
H: 0.220 0.559 0.645
H: 0.914 0.075 0.855
H: 0.661 0.220 0.575
H: 0.441 0.780 0.855
H: 0.059 0.414 0.839
H: 0.425 0.280 0.339
H: 0.059 0.645 0.720
H: 0.661 0.441 0.586
H: 0.280 0.855 0.941

=====

First-principles (PBE) data for an optimized crystal structure of Cr2FeRu2, as listed in Alexandria via LeMat-Bulk.

**V**: 13.034 Å³ per atom
**Energy of formation from the pure elements**: 390 meV per atom
**E above lowest polymorph**: 89 meV/atom
**Space-group type**: P4/mbm (127)

a b c (Å): 6.904 6.904 2.734
angles (deg): 90.00 90.00 90.00
Atoms (fractional coordinates):
Ru: 0.178 0.678 0.500
Ru: 0.678 0.822 0.500
Ru: 0.822 0.322 0.500
Ru: 0.322 0.178 0.500
Fe: 0.000 0.000 0.000
Fe: 0.500 0.500 0.000
Cr: 0.379 0.879 0.000
Cr: 0.879 0.621 0.000
Cr: 0.621 0.121 0.000
Cr: 0.121 0.379 0.000

=====

First-principles (PBE) data for an optimized crystal structure of BaCuP2, as listed in Alexandria via LeMat-Bulk.

**V**: 22.734 Å³ per atom
**Energy of formation from the pure elements**: 335 meV per atom
**Space-group type**: Cmmm (65)

a b c (Å): 5.334 5.334 3.258
angles (deg): 90.00 90.00 101.20
Atoms (fractional coordinates):
Ba: 0.500 0.000 0.500
Cu: 0.000 0.500 0.500
P: 0.000 0.000 0.000
P: 0.500 0.500 0.000

=====

First-principles (PBE) data for an optimized crystal structure of InP, as listed in Alexandria via LeMat-Bulk.

**V**: 21.642 Å³ per atom
**Energy of formation from the pure elements**: 270 meV per atom
**Space-group type**: P2/m (10)

a b c (Å): 2.829 3.920 4.948
angles (deg): 90.02 127.93 89.98
Atoms (fractional coordinates):
P: 0.632 0.617 0.117
In: 0.133 0.117 0.617

=====

First-principles (PBE) data for an optimized crystal structure of Ce2ErPb, as listed in Alexandria via LeMat-Bulk.

**V**: 31.352 Å³ per atom
**Energy of formation from the pure elements**: 158 meV per atom
**E above lowest polymorph**: 428 meV/atom
**Space-group type**: R-3m (166)

a b c (Å): 3.430 3.430 12.467
angles (deg): 82.09 82.09 60.00
Site moments in Bohr magnetons follow the coordinates.
Atoms (fractional coordinates):
Pb: 0.000 0.000 0.000  0.02
Ce: 0.089 0.089 0.733  0.79
Ce: 0.911 0.911 0.267  0.79
Er: 0.500 0.500 0.500  -0.01

=====

First-principles (PBE) data for an optimized crystal structure of Co2AgSe, as listed in Alexandria via LeMat-Bulk.

**V**: 14.567 Å³ per atom
**Space-group type**: I-4m2 (119)
**Total energy**: -4.656 eV per atom

a b c (Å): 4.864 4.864 4.864
angles (deg): 134.17 134.17 66.82
Site moments in Bohr magnetons follow the coordinates.
Atoms (fractional coordinates):
Ag: 0.750 0.250 0.500  0.00
Co: 0.000 0.000 0.000  1.58
Co: 0.250 0.750 0.500  1.65
Se: 0.500 0.500 0.000  0.06

=====

First-principles (PBE) data for an optimized crystal structure of TlCu4Br8, as listed in Alexandria via LeMat-Bulk.

**V**: 26.159 Å³ per atom
**Space-group type**: R-3m (166)
**Total energy**: -2.765 eV per atom

a b c (Å): 7.892 7.892 7.892
angles (deg): 59.05 59.05 59.05
Site moments in Bohr magnetons follow the coordinates.
Atoms (fractional coordinates):
Tl: 0.000 0.000 0.000  0.00
Cu: 0.500 0.500 0.500  0.03
Cu: 0.500 0.500 0.000  0.32
Cu: 0.000 0.500 0.500  0.32
Cu: 0.500 0.000 0.500  0.32
Br: 0.728 0.266 0.266  0.06
Br: 0.266 0.266 0.728  0.06
Br: 0.266 0.728 0.266  0.06
Br: 0.270 0.270 0.270  0.15
Br: 0.730 0.730 0.730  0.15
Br: 0.734 0.734 0.272  0.06
Br: 0.734 0.272 0.734  0.06
Br: 0.272 0.734 0.734  0.06

=====

Please write out number 4 again, unchanged.
First-principles (PBE) data for an optimized crystal structure of BaCuP2, as listed in Alexandria via LeMat-Bulk.

**V**: 22.734 Å³ per atom
**Energy of formation from the pure elements**: 335 meV per atom
**Space-group type**: Cmmm (65)

a b c (Å): 5.334 5.334 3.258
angles (deg): 90.00 90.00 101.20
Atoms (fractional coordinates):
Ba: 0.500 0.000 0.500
Cu: 0.000 0.500 0.500
P: 0.000 0.000 0.000
P: 0.500 0.500 0.000